Density functional theory data (PBE) for crystalline CaCdPb at its relaxed geometry.

Values from the calculation:
Energy of formation = -285 meV per atom

Unit cell a=3.5058 b=7.0138 c=8.1371 alpha=88.07 beta=89.99 gamma=119.90
Last column: nearest neighbours and their distance in Å.
Positions (direct):
1 Cd 0.6651 0.3635 0.3255  1 Cd 3.01, 1 Pb 3.24, 1 Ca 3.37
2 Cd 0.8733 0.5694 0.6554  1 Cd 3.01, 3 Pb 3.03-3.17
3 Ca 0.0669 0.2640 0.9828  6 Pb 3.36-3.59, 4 Cd 3.37-3.64, 2 Ca 3.51
4 Ca 0.6648 0.8621 0.3569  4 Pb 3.36-3.37, 6 Cd 3.43-3.52, 2 Ca 3.51
5 Pb 0.0528 0.7493 0.0162  2 Cd 3.17-3.37, 4 Ca 3.37-3.46, 3 Pb 3.39-3.51
6 Pb 0.3728 0.0709 0.6671  3 Cd 3.03-3.24, 4 Ca 3.36, 1 Pb 3.39

***

Density functional theory data (PBE) for crystalline Nd2ThHg at its relaxed geometry.

Values from the calculation:
Energy of formation = 38 meV per atom
Offset from the most stable computed form = 1.10 eV/f.u.

Unit cell a=5.5532 b=5.5532 c=5.5532 alpha=60.00 beta=60.00 gamma=60.00
Last column: nearest neighbours and their distance in Å.
Positions (direct):
1 Hg 0.5000 0.5000 0.5000  8 Nd 3.40
2 Nd 0.2500 0.2500 0.2500  4 Hg 3.40, 4 Th 3.40
3 Nd 0.7500 0.7500 0.7500  4 Hg 3.40, 4 Th 3.40
4 Th 0.0000 0.0000 0.0000  8 Nd 3.40

***

Density functional theory data (PBE) for crystalline BeCrTe2 at its relaxed geometry.

Values from the calculation:
Formation energy without anion corrections = 0.41 eV/atom

Unit cell a=5.3048 b=5.3048 c=5.3048 alpha=138.66 beta=109.31 gamma=85.33
Last column: nearest neighbours and their distance in Å.
Positions (direct):
1 Cr 0.2500 0.7500 0.5000  4 Te 2.90
2 Te 0.5335 0.5335 0.0000  2 Be 2.52
3 Te 0.9665 0.9665 0.0000  2 Be 2.52
4 Be 0.7500 0.2500 0.5000  4 Te 2.52

***

Density functional theory data (PBE) for crystalline SrZrHS2 at its relaxed geometry.

Unit cell a=5.0635 b=5.0635 c=3.9550 alpha=90.00 beta=90.00 gamma=90.00
Last column: nearest neighbours and their distance in Å.
Positions (direct):
1 H 0.0000 0.0000 0.5000  2 Zr 1.98
2 Sr 0.5000 0.5000 0.5000  8 S 3.21, 4 H 3.58
3 Zr 0.0000 0.0000 0.0000  2 H 1.98
4 S 0.5000 0.0000 0.0000  2 Zr 2.53
5 S 0.0000 0.5000 0.0000  2 Zr 2.53

***

Calculated E_tot, -14.96, -17.11, -18.01, -28.67 eV for the cell shown (same order as the records).
Calculated density of states at the Fermi level, 3.081, 6.132, 2.218, 2.835 states/eV/cell (same order as the records).
Calculated magnetization, 0.000, 0.067, 1.018, 0.000 μB/atom (same order as the records).